1.
# Pm4Er3Au4

Pm4Er3Au4 after structural relaxation (GGA-PBE, Alexandria).

Calculated values
Total magnetization   0.000 μB per atom
Energy   -4.6906 eV per atom
Energy of formation   -0.53 eV per atom
Mass density   10.274 g/cm3

Lattice parameters (Å, degrees): 3.756 9.301 17.296 90.00 90.00 90.00
Space group Immm (No. 71)
Inequivalent atoms, fractional coordinates:
Pm 0.000 0.184 0.161
Er 0.000 0.000 0.399
Er 0.000 0.500 0.500
Au 0.000 0.322 0.000
Au 0.000 0.500 0.238

2.
# Pm3ErAu2

Pm3ErAu2 after structural relaxation (GGA-PBE, Alexandria).

Calculated values
ΔE to the lowest computed polymorph   0.000 eV per atom
Total magnetization   0.000 μB per atom
Energy   -4.8029 eV per atom
Energy of formation   -0.57 eV per atom
Mass density   9.887 g/cm3

Lattice parameters (Å, degrees): 5.078 9.211 7.154 90.00 90.00 90.00
Space group Pmc2_1 (No. 26)
Inequivalent atoms, fractional coordinates:
Pm 0.000 0.075 0.000
Pm 0.000 0.336 0.356
Pm 0.500 0.166 0.660
Er 0.500 0.427 0.016
Au 0.000 0.350 0.774
Au 0.500 0.159 0.242

3.
# PmEr3Au4

PmEr3Au4 after structural relaxation (GGA-PBE, Alexandria).

Calculated values
Total magnetization   0.000 μB per atom
Energy   -4.7959 eV per atom
Energy of formation   -0.85 eV per atom
Mass density   12.727 g/cm3

Lattice parameters (Å, degrees): 5.0746 5.0746 25.1802 90.00 90.00 120.00
Space group R-3m (No. 166, hexagonal axes)
Inequivalent atoms, fractional coordinates:
Pm 0.0000 0.0000 0.0000
Er 0.0000 0.0000 0.2489
Er 0.0000 0.0000 0.5000
Au 0.0000 0.0000 0.1277
Au 0.0000 0.0000 0.3798

4.
# Pm2ErAu2

Pm2ErAu2 after structural relaxation (GGA-PBE, Alexandria).

Calculated values
ΔE to the lowest computed polymorph   0.038 eV per atom
Total magnetization   0.000 μB per atom
Energy   -4.7407 eV per atom
Energy of formation   -0.62 eV per atom
Mass density   10.321 g/cm3

Lattice parameters (Å, degrees): 4.002 7.081 9.665 90.00 90.00 90.00
Space group Immm (No. 71)
Inequivalent atoms, fractional coordinates:
Pm 0.000 0.000 0.198
Er 0.000 0.500 0.000
Au 0.000 0.291 0.500